P | TiBeSe3 | PBE | relaxed Values from VASP.

The structure in Quantum ESPRESSO input format:
```
&SYSTEM
  ibrav = 0, nat = 5, ntyp = 3
/
ATOMIC_SPECIES
Ti 47.87 Ti.upf
Be 9.01 Be.upf
Se 78.96 Se.upf
ATOMIC_POSITIONS crystal
Ti 0.0000 0.0000 0.0000
Be 0.5000 0.5000 0.5000
Se 0.0000 0.0000 0.5000
Se 0.0000 0.5000 0.0000
Se 0.5000 0.0000 0.0000
CELL_PARAMETERS angstrom
4.9260 0.0000 0.0000
0.0000 4.9260 0.0000
0.0000 0.0000 4.9260
```

Output
* space-group type: No. 221

=====

Q | TiBeSe3 | PBE | relaxed Values from VASP.

The structure in Quantum ESPRESSO input format:
```
&SYSTEM
  ibrav = 0, nat = 5, ntyp = 3
/
ATOMIC_SPECIES
Ti 47.87 Ti.upf
Be 9.01 Be.upf
Se 78.96 Se.upf
ATOMIC_POSITIONS crystal
Ti 0.0000 0.0000 0.0000
Be 0.5000 0.5000 0.5000
Se 0.0000 0.5000 0.5000
Se 0.5000 0.0000 0.5000
Se 0.5000 0.5000 0.0000
CELL_PARAMETERS angstrom
4.5590 0.0000 0.0000
0.0000 4.5590 0.0000
0.0000 0.0000 4.5590
```

Output
* space-group type: No. 221

=====

Of all the structures shown, which is most stable? Q, and P is the least stable.